11
Lattice="5.272 3.044 2.531 -5.272 3.044 2.531 0.000 -6.088 2.531" Properties=species:S:1:pos:R:3 comment="Sn3Au8 | the Alexandria database | PBE | optimized geometry" ef_ev_per_fu=0.4 vol_a3_per_atom=22.15 polymorph_energy_kj_per_mol_fu=94 space_group="R-3, No. 148" energy_ev_per_cell=-37.87 total_magnetization_mub_per_fu=0.0 pbc="T T T"
Sn -2.636 -1.522 2.531
Sn -2.636 1.522 5.061
Sn 0.000 3.044 2.531
Au -4.348 0.724 3.103
Au -2.801 -3.403 4.489
Au 0.000 0.000 2.391
Au 1.547 -4.127 3.103
Au -1.547 4.127 4.489
Au 0.000 0.000 5.202
Au 2.801 3.403 3.103
Au 4.348 -0.724 4.489